# 1
DFT (GGA-PBE) results for a relaxed CuRhSeO5 crystal.

Calculated values
Space group   C2/c
N(E_F)   0.52 states/eV per atom
E_tot   -43.62 eV/f.u.

```
CuRhSeO5
1.0
5.5550 0.0234 -0.3076
-1.5992 5.3198 -0.3076
-1.9934 -2.6925 6.9428
Cu Rh Se O
2 2 2 10
Direct
0.2891 0.7109 0.2500
0.7109 0.2891 0.7500
0.0000 0.0000 0.5000
0.0000 0.0000 0.0000
0.7198 0.2802 0.2500
0.2802 0.7198 0.7500
0.0675 0.9325 0.2500
0.9325 0.0675 0.7500
0.9697 0.3702 0.1187
0.0303 0.6298 0.8813
0.6298 0.0303 0.3813
0.3702 0.9697 0.6187
0.7767 0.5950 0.4324
0.2233 0.4050 0.5676
0.4050 0.2233 0.0676
0.5950 0.7767 0.9324
```

# 2
DFT (GGA-PBE) results for a relaxed TiReAs2 crystal.

Calculated values
Space group   Fm-3m
ΔE_f   -16.6 kJ/mol of atoms
N(E_F)   0.67 states/eV per atom
E_tot   -30.33 eV/f.u.
Energy above the most stable polymorph in this dataset   0.000 eV per atom

```
TiReAs2
1.0
0.0000 3.1275 3.1275
3.1275 0.0000 3.1275
3.1275 3.1275 0.0000
Re As Ti
1 2 1
Direct
0.5000 0.5000 0.5000
0.2500 0.2500 0.2500
0.7500 0.7500 0.7500
0.0000 0.0000 0.0000
```

# 3
DFT (GGA-PBE) results for a relaxed Sc3BiRh crystal.

Calculated values
Space group   Pm-3m
ΔE_f   -41.7 kJ/mol of atoms
N(E_F)   1.52 states/eV per atom
E_tot   -32.39 eV/f.u.
Energy above the most stable polymorph in this dataset   0.000 eV per atom

```
Sc3BiRh
1.0
5.0220 0.0000 0.0000
0.0000 5.0220 0.0000
0.0000 0.0000 5.0220
Sc Rh Bi
3 1 1
Direct
0.0000 0.5000 0.0000
0.0000 0.0000 0.5000
0.5000 0.0000 0.0000
0.0000 0.0000 0.0000
0.5000 0.5000 0.5000
```

# 4
DFT (GGA-PBE) results for a relaxed CrCoTc2 crystal.

Calculated values
Space group   Pmmm
ΔE_f   13.2 kJ/mol of atoms
N(E_F)   1.34 states/eV per atom
E_tot   -36.91 eV/f.u.
Energy above the most stable polymorph in this dataset   0.074 eV per atom

```
CrCoTc2
1.0
-1.5931 -1.5436 1.4394
2.9320 -1.5554 1.5771
-0.1069 3.6810 3.8292
Co Cr Tc
1 1 2
Direct
0.5000 0.5000 0.2500
0.5000 0.5000 0.7500
0.0000 0.0000 0.0001
0.0000 0.0000 0.4999
```

# 5
DFT (GGA-PBE) results for a relaxed AgSnSb crystal.

Calculated values
Space group   Fmmm
N(E_F)   0.43 states/eV per atom
E_tot   -10.57 eV/f.u.
Energy above the most stable polymorph in this dataset   0.086 eV per atom

```
AgSnSb
1.0
-4.0399 -1.5526 -3.1699
0.6420 -9.3757 -0.7655
-5.7289 -1.4428 3.4683
Sn Ag Sb
4 4 4
Direct
0.4733 0.8025 0.2509
0.2758 0.1975 0.2509
0.7242 0.8025 0.7491
0.5267 0.1975 0.7491
0.8029 0.0000 0.3941
0.9228 0.1545 0.0000
0.0772 0.8455 0.0000
0.1971 0.0000 0.6059
0.0845 0.5769 0.2542
0.6613 0.4231 0.2542
0.3387 0.5769 0.7458
0.9155 0.4231 0.7458
```

# 6
DFT (GGA-PBE) results for a relaxed CrTe crystal.

Calculated values
Space group   I4/mmm
N(E_F)   0.61 states/eV per atom
E_tot   -12.77 eV/f.u.

```
CrTe
1.0
10.3201 0.0000 0.0000
0.0000 10.3201 0.0000
0.0000 0.0000 4.3056
Cr Te
8 8
Direct
0.9004 0.5000 0.0000
0.0996 0.5000 0.0000
0.5000 0.0996 0.0000
0.5000 0.9004 0.0000
0.4004 0.0000 0.5000
0.5996 0.0000 0.5000
0.0000 0.5996 0.5000
0.0000 0.4004 0.5000
0.2526 0.0000 0.0000
0.7474 0.0000 0.0000
0.0000 0.7474 0.0000
0.0000 0.2526 0.0000
0.7526 0.5000 0.5000
0.2474 0.5000 0.5000
0.5000 0.2474 0.5000
0.5000 0.7526 0.5000
```

Which value of N(E_F) does entry 5 give? 0.43 states/eV per atom

Which of these has the lowest N(E_F)? AgSnSb

Among the records above, which one has the highest E_tot? AgSnSb

Which of these has the lowest E_tot? CuRhSeO5